# 1
The following is a PBE calculation of crystalline NaZrCu2 at its relaxed geometry, from the Alexandria database.

The offset from the most stable computed form is 0.380 eV per atom. Its energy relative to the elements is 2.50 eV per formula unit.

The space group is I-42d (No. 122) and the conventional cell measures 7.230, 7.230 and 5.964 Å, with angles of 90.00, 90.00 and 90.00 degrees. The inequivalent atoms are Na at (0.000, 0.000, 0.000), Zr at (0.000, 0.000, 0.500) and Cu at (0.244, 0.750, 0.625).



# 2
The following is a PBE calculation of crystalline La2P4PdRh3 at its relaxed geometry, from the Alexandria database.

Its energy relative to the elements is -11.05 eV per formula unit.

The space group is P-4m2 (No. 115) and the conventional cell measures 4.263, 4.263 and 9.562 Å, with angles of 90.00, 90.00 and 90.00 degrees. The inequivalent atoms are La at (0.000, 0.500, 0.243), P at (0.000, 0.000, 0.000), P at (0.000, 0.500, 0.639), P at (0.500, 0.500, 0.000), Pd at (0.000, 0.000, 0.500), Rh at (0.000, 0.500, 0.891) and Rh at (0.500, 0.500, 0.500).



# 3
The following is a PBE calculation of crystalline Zn12Cu5Pt2 at its relaxed geometry, from the Alexandria database.

Its energy relative to the elements is -2.75 eV per formula unit.

The space group is C2/m (No. 12) and the conventional cell measures 12.067, 7.324 and 6.222 Å, with angles of 90.00, 90.34 and 90.00 degrees. The inequivalent atoms are Zn at (0.063, 0.000, 0.177), Zn at (0.097, 0.500, 0.618), Zn at (0.123, 0.203, 0.848), Zn at (0.165, 0.312, 0.266), Cu at (0.000, 0.500, 0.000), Cu at (0.194, 0.000, 0.509), Cu at (0.232, 0.500, 0.940) and Pt at (0.000, 0.200, 0.500).